Entry P
DFT (PBE) results for an optimized crystal structure of GdB4Pd.

Calculated values
* calculated density: 7.74 g/cm3

abc: 4.984 4.984 4.984
angles: 143.04 115.22 76.99
Element x y z (fractional)
Gd (0.000, 0.000, 0.000)
B (0.068, 0.743, 0.325)
B (0.419, 0.743, 0.675)
B (0.581, 0.257, 0.325)
B (0.932, 0.257, 0.675)
Pd (0.500, 0.500, 0.000)

---

Entry Q
DFT (PBE) results for an optimized crystal structure of GdB4Pd.

Calculated values
* calculated density: 8.07 g/cm3

abc: 3.225 3.225 7.014
angles: 90.00 90.00 120.00
Element x y z (fractional)
Gd (0.000, 0.000, 0.000)
B (0.333, 0.667, 0.272)
B (0.333, 0.667, 0.728)
B (0.667, 0.333, 0.272)
B (0.667, 0.333, 0.728)
Pd (0.000, 0.000, 0.500)

---

On energetic grounds, entry P is preferred over the next structure by 16 meV per atom.

---

Entry P
DFT (PBE) results for an optimized crystal structure of GdBPd.

Calculated values
* calculated density: 7.83 g/cm3

abc: 4.351 4.351 4.351
angles: 60.00 60.00 60.00
Element x y z (fractional)
Gd (0.000, 0.000, 0.000)
B (0.500, 0.500, 0.500)
Pd (0.750, 0.750, 0.750)

---

Entry Q
DFT (PBE) results for an optimized crystal structure of GdBPd.

Calculated values
* calculated density: 8.58 g/cm3

abc: 4.219 4.219 4.219
angles: 60.00 60.00 60.00
Element x y z (fractional)
Gd (0.000, 0.000, 0.000)
B (0.250, 0.250, 0.250)
Pd (0.500, 0.500, 0.500)

---

On energetic grounds, entry Q is preferred over the next structure by 364 meV per atom.

---

Entry P
DFT (PBE) results for an optimized crystal structure of GdB4Pt.

Calculated values
* calculated density: 10.33 g/cm3

abc: 3.262 3.262 6.902
angles: 90.00 90.00 120.00
Element x y z (fractional)
Gd (0.000, 0.000, 0.000)
B (0.333, 0.667, 0.275)
B (0.333, 0.667, 0.725)
B (0.667, 0.333, 0.275)
B (0.667, 0.333, 0.725)
Pt (0.000, 0.000, 0.500)

---

Entry Q
DFT (PBE) results for an optimized crystal structure of GdB4Pt.

Calculated values
* calculated density: 9.95 g/cm3

abc: 5.010 5.010 5.010
angles: 143.15 116.46 75.77
Element x y z (fractional)
Gd (0.000, 0.000, 0.000)
B (0.062, 0.739, 0.322)
B (0.417, 0.739, 0.678)
B (0.583, 0.261, 0.322)
B (0.938, 0.261, 0.678)
Pt (0.500, 0.500, 0.000)

---

On energetic grounds, entry Q is preferred over the next structure by 17 meV per atom.

---

Entry P
DFT (PBE) results for an optimized crystal structure of RbGdB4.

Calculated values
* calculated density: 5.69 g/cm3

abc: 3.245 3.245 9.148
angles: 90.00 90.00 120.00
Element x y z (fractional)
Rb (0.000, 0.000, 0.000)
Gd (0.000, 0.000, 0.500)
B (0.333, 0.667, 0.289)
B (0.333, 0.667, 0.711)
B (0.667, 0.333, 0.289)
B (0.667, 0.333, 0.711)

---

Entry Q
DFT (PBE) results for an optimized crystal structure of RbGdB4.

Calculated values
* calculated density: 4.74 g/cm3

abc: 5.873 5.873 5.873
angles: 149.10 94.11 94.03
Element x y z (fractional)
Rb (0.000, 0.000, 0.000)
Gd (0.500, 0.000, 0.500)
B (0.019, 0.263, 0.756)
B (0.493, 0.737, 0.756)
B (0.507, 0.263, 0.244)
B (0.981, 0.737, 0.244)

---

On energetic grounds, entry P is preferred over the next structure by 58 meV per atom.

---

Entry P
DFT (PBE) results for an optimized crystal structure of GdB4Sb.

Calculated values
* calculated density: 7.28 g/cm3

abc: 5.353 5.353 5.353
angles: 145.14 121.55 69.90
Element x y z (fractional)
Gd (0.000, 0.000, 0.000)
B (0.056, 0.735, 0.321)
B (0.413, 0.735, 0.679)
B (0.587, 0.265, 0.321)
B (0.944, 0.265, 0.679)
Sb (0.500, 0.500, 0.000)

---

Entry Q
DFT (PBE) results for an optimized crystal structure of GdB4Sb.

Calculated values
* calculated density: 7.29 g/cm3

abc: 3.240 3.240 8.077
angles: 90.00 90.00 120.00
Element x y z (fractional)
Gd (0.000, 0.000, 0.000)
B (0.333, 0.667, 0.242)
B (0.333, 0.667, 0.758)
B (0.667, 0.333, 0.242)
B (0.667, 0.333, 0.758)
Sb (0.000, 0.000, 0.500)

---

On energetic grounds, entry P is preferred over the next structure by 100 meV per atom.

---

Entry P
DFT (PBE) results for an optimized crystal structure of GdScB.

Calculated values
* calculated density: 5.86 g/cm3

abc: 4.403 4.403 4.403
angles: 60.00 60.00 60.00
Element x y z (fractional)
Gd (0.000, 0.000, 0.000)
Sc (0.250, 0.250, 0.250)
B (0.750, 0.750, 0.750)

---

Entry Q
DFT (PBE) results for an optimized crystal structure of GdScB.

Calculated values
* calculated density: 5.88 g/cm3

abc: 4.399 4.399 4.399
angles: 60.00 60.00 60.00
Element x y z (fractional)
Gd (0.000, 0.000, 0.000)
Sc (0.500, 0.500, 0.500)
B (0.250, 0.250, 0.250)

---

On energetic grounds, entry Q is preferred over the next structure by 1123 meV per atom.

---

Entry P
DFT (PBE) results for an optimized crystal structure of GdSiB.

Calculated values
* calculated density: 6.53 g/cm3

abc: 4.133 4.133 4.133
angles: 60.00 60.00 60.00
Element x y z (fractional)
Gd (0.000, 0.000, 0.000)
Si (0.500, 0.500, 0.500)
B (0.250, 0.250, 0.250)

---

Entry Q
DFT (PBE) results for an optimized crystal structure of GdSiB.

Calculated values
* calculated density: 5.19 g/cm3

abc: 4.462 4.462 4.462
angles: 60.00 60.00 60.00
Element x y z (fractional)
Gd (0.000, 0.000, 0.000)
Si (0.250, 0.250, 0.250)
B (0.750, 0.750, 0.750)

---

On energetic grounds, entry P is preferred over the next structure by 705 meV per atom.

---

Entry P
DFT (PBE) results for an optimized crystal structure of GdSnB.

Calculated values
* calculated density: 6.37 g/cm3

abc: 4.728 4.728 4.728
angles: 60.00 60.00 60.00
Element x y z (fractional)
Gd (0.000, 0.000, 0.000)
Sn (0.250, 0.250, 0.250)
B (0.750, 0.750, 0.750)

---

Entry Q
DFT (PBE) results for an optimized crystal structure of GdSnB.

Calculated values
* calculated density: 7.81 g/cm3

abc: 4.417 4.417 4.417
angles: 60.00 60.00 60.00
Element x y z (fractional)
Gd (0.000, 0.000, 0.000)
Sn (0.500, 0.500, 0.500)
B (0.250, 0.250, 0.250)

---

Entry R
DFT (PBE) results for an optimized crystal structure of GdSnB.

Calculated values
* calculated density: 6.59 g/cm3

abc: 4.676 4.676 4.676
angles: 60.00 60.00 60.00
Element x y z (fractional)
Gd (0.000, 0.000, 0.000)
Sn (0.750, 0.750, 0.750)
B (0.500, 0.500, 0.500)

---

On energetic grounds, entry Q is preferred over the next structure by 675 meV per atom.

---

Entry P
DFT (PBE) results for an optimized crystal structure of SrGdB4.

Calculated values
* calculated density: 6.02 g/cm3

abc: 3.325 3.325 8.295
angles: 90.00 90.00 120.00
Element x y z (fractional)
Sr (0.000, 0.000, 0.000)
Gd (0.000, 0.000, 0.500)
B (0.333, 0.667, 0.267)
B (0.333, 0.667, 0.733)
B (0.667, 0.333, 0.267)
B (0.667, 0.333, 0.733)

---

Entry Q
DFT (PBE) results for an optimized crystal structure of SrGdB4.

Calculated values
* calculated density: 5.33 g/cm3

abc: 5.570 5.570 5.570
angles: 147.22 96.03 93.10
Element x y z (fractional)
Sr (0.000, 0.000, 0.000)
Gd (0.500, 0.500, 0.000)
B (0.024, 0.753, 0.271)
B (0.482, 0.753, 0.729)
B (0.518, 0.247, 0.271)
B (0.976, 0.247, 0.729)

---

On energetic grounds, entry Q is preferred over the next structure by 68 meV per atom.

---

Entry P
DFT (PBE) results for an optimized crystal structure of GdTmB4.

Calculated values
* calculated density: 8.52 g/cm3

abc: 3.285 3.285 7.701
angles: 90.00 90.00 120.00
Element x y z (fractional)
Gd (0.000, 0.000, 0.000)
Tm (0.000, 0.000, 0.500)
B (0.333, 0.667, 0.258)
B (0.333, 0.667, 0.742)
B (0.667, 0.333, 0.258)
B (0.667, 0.333, 0.742)

---

Entry Q
DFT (PBE) results for an optimized crystal structure of GdTmB4.

Calculated values
* calculated density: 8.51 g/cm3

abc: 5.064 5.064 5.064
angles: 142.12 111.59 80.95
Element x y z (fractional)
Gd (0.000, 0.000, 0.000)
Tm (0.500, 0.500, 0.000)
B (0.084, 0.751, 0.333)
B (0.418, 0.751, 0.667)
B (0.582, 0.249, 0.333)
B (0.916, 0.249, 0.667)

---

On energetic grounds, entry P is preferred over the next structure by 9 meV per atom.

---

Entry P
DFT (PBE) results for an optimized crystal structure of GdB4W.

Calculated values
* calculated density: 9.88 g/cm3

abc: 6.056 11.709 3.642
angles: 90.00 90.00 90.00
Element x y z (fractional)
Gd (0.127, 0.150, 0.000)
Gd (0.373, 0.650, 0.000)
Gd (0.627, 0.350, 0.000)
Gd (0.873, 0.850, 0.000)
B (0.024, 0.693, 0.500)
B (0.113, 0.547, 0.500)
B (0.134, 0.968, 0.500)
B (0.214, 0.814, 0.500)
B (0.286, 0.314, 0.500)
B (0.366, 0.468, 0.500)
B (0.387, 0.047, 0.500)
B (0.476, 0.193, 0.500)
B (0.524, 0.807, 0.500)
B (0.613, 0.953, 0.500)
B (0.634, 0.532, 0.500)
B (0.714, 0.686, 0.500)
B (0.786, 0.186, 0.500)
B (0.866, 0.032, 0.500)
B (0.887, 0.453, 0.500)
B (0.976, 0.307, 0.500)
W (0.130, 0.416, 0.000)
W (0.370, 0.916, 0.000)
W (0.630, 0.084, 0.000)
W (0.870, 0.584, 0.000)

---

Entry Q
DFT (PBE) results for an optimized crystal structure of GdB4W.

Calculated values
* calculated density: 10.40 g/cm3

abc: 3.129 3.129 7.238
angles: 90.00 90.00 120.00
Element x y z (fractional)
Gd (0.000, 0.000, 0.000)
B (0.333, 0.667, 0.277)
B (0.333, 0.667, 0.723)
B (0.667, 0.333, 0.277)
B (0.667, 0.333, 0.723)
W (0.000, 0.000, 0.500)

---

On energetic grounds, entry P is preferred over the next structure by 142 meV per atom.

---

Entry P
DFT (PBE) results for an optimized crystal structure of GdZnB.

Calculated values
* calculated density: 7.18 g/cm3

abc: 4.242 4.242 4.242
angles: 60.00 60.00 60.00
Element x y z (fractional)
Gd (0.000, 0.000, 0.000)
Zn (0.750, 0.750, 0.750)
B (0.500, 0.500, 0.500)

---

Entry Q
DFT (PBE) results for an optimized crystal structure of GdZnB.

Calculated values
* calculated density: 7.41 g/cm3

abc: 4.199 4.199 4.199
angles: 60.00 60.00 60.00
Element x y z (fractional)
Gd (0.000, 0.000, 0.000)
Zn (0.500, 0.500, 0.500)
B (0.250, 0.250, 0.250)

---

On energetic grounds, entry Q is preferred over the next structure by 529 meV per atom.

---

Entry P
DFT (PBE) results for an optimized crystal structure of GdZnB4.

Calculated values
* calculated density: 6.59 g/cm3

abc: 5.038 5.038 5.038
angles: 143.11 116.96 75.34
Element x y z (fractional)
Gd (0.000, 0.000, 0.000)
Zn (0.500, 0.500, 0.000)
B (0.063, 0.739, 0.323)
B (0.416, 0.739, 0.677)
B (0.584, 0.261, 0.323)
B (0.937, 0.261, 0.677)

---

Entry Q
DFT (PBE) results for an optimized crystal structure of GdZnB4.

Calculated values
* calculated density: 6.97 g/cm3

abc: 3.182 3.182 7.224
angles: 90.00 90.00 120.00
Element x y z (fractional)
Gd (0.000, 0.000, 0.000)
Zn (0.000, 0.000, 0.500)
B (0.333, 0.667, 0.274)
B (0.333, 0.667, 0.726)
B (0.667, 0.333, 0.274)
B (0.667, 0.333, 0.726)

---

On energetic grounds, entry P is preferred over the next structure by 84 meV per atom.